# Pr2ReO8 PBE relaxed
# energy	-7.41	eV/atom
# DOS(E_F)	4.45	states/eV per cell
# crystal system	monoclinic
# energy relative to the elements, uncorrected	-1.800	eV/atom
data_Pr2ReO8
_cell_length_a 14.996
_cell_length_b 3.886
_cell_length_c 4.832
_cell_angle_alpha 90.00
_cell_angle_beta 104.71
_cell_angle_gamma 90.00
_symmetry_space_group_name_H-M 'C 1 2/m 1'
_symmetry_Int_Tables_number 12
_symmetry_space_group_name_Hall '-C 2y'
loop_
_atom_site_label
_atom_site_type_symbol
_atom_site_fract_x
_atom_site_fract_y
_atom_site_fract_z
Pr1 Pr 0.175 0.000 0.190
Re1 Re 0.000 0.500 0.500
O1 O 0.015 0.000 0.712
O2 O 0.041 0.500 0.951
O3 O 0.120 0.500 0.503
O4 O 0.240 0.000 0.770



# ErMg2Ag3 PBE relaxed
# energy	-2.97	eV/atom
# DOS(E_F)	2.07	states/eV per cell
# crystal system	tetragonal
data_ErMg2Ag3
_cell_length_a 3.404
_cell_length_b 3.404
_cell_length_c 10.479
_cell_angle_alpha 90.00
_cell_angle_beta 90.00
_cell_angle_gamma 90.00
_symmetry_space_group_name_H-M 'P 4/m m m'
_symmetry_Int_Tables_number 123
_symmetry_space_group_name_Hall '-P 4 2'
loop_
_atom_site_label
_atom_site_type_symbol
_atom_site_fract_x
_atom_site_fract_y
_atom_site_fract_z
Er1 Er 0.000 0.000 0.000
Mg1 Mg 0.000 0.000 0.342
Ag1 Ag 0.500 0.500 0.188
Ag2 Ag 0.500 0.500 0.500



# HfTeIr PBE relaxed
# energy	-7.84	eV/atom
# DOS(E_F)	3.78	states/eV per cell
# crystal system	monoclinic
# energy relative to the elements, uncorrected	-0.518	eV/atom
data_HfTeIr
_cell_length_a 12.856
_cell_length_b 3.814
_cell_length_c 6.738
_cell_angle_alpha 90.00
_cell_angle_beta 120.19
_cell_angle_gamma 90.00
_symmetry_space_group_name_H-M 'C 1 m 1'
_symmetry_Int_Tables_number 8
_symmetry_space_group_name_Hall 'C -2y'
loop_
_atom_site_label
_atom_site_type_symbol
_atom_site_fract_x
_atom_site_fract_y
_atom_site_fract_z
Hf1 Hf 0.000 0.000 0.000
Hf2 Hf 0.233 0.500 0.510
Te1 Te 0.168 0.500 0.910
Te2 Te 0.463 0.000 0.290
Ir1 Ir 0.238 0.000 0.251
Ir2 Ir 0.426 0.000 0.671



# Pm9HoTm2 PBE relaxed
# energy	-4.67	eV/atom
# DOS(E_F)	18.88	states/eV per cell
# crystal system	tetragonal
data_Pm9HoTm2
_cell_length_a 5.106
_cell_length_b 5.106
_cell_length_c 15.322
_cell_angle_alpha 90.00
_cell_angle_beta 90.00
_cell_angle_gamma 90.00
_symmetry_space_group_name_H-M 'P 4/m m m'
_symmetry_Int_Tables_number 123
_symmetry_space_group_name_Hall '-P 4 2'
loop_
_atom_site_label
_atom_site_type_symbol
_atom_site_fract_x
_atom_site_fract_y
_atom_site_fract_z
Pm1 Pm 0.000 0.000 0.000
Pm2 Pm 0.000 0.000 0.334
Pm3 Pm 0.000 0.500 0.167
Pm4 Pm 0.000 0.500 0.500
Ho1 Ho 0.500 0.500 0.000
Tm1 Tm 0.500 0.500 0.334



# KRe2Rh PBE relaxed
# energy	-6.78	eV/atom
# DOS(E_F)	5.94	states/eV per cell
# crystal system	tetragonal
data_KRe2Rh
_cell_length_a 3.740
_cell_length_b 3.740
_cell_length_c 5.040
_cell_angle_alpha 90.00
_cell_angle_beta 90.00
_cell_angle_gamma 90.00
_symmetry_space_group_name_H-M 'P 4/m m m'
_symmetry_Int_Tables_number 123
_symmetry_space_group_name_Hall '-P 4 2'
loop_
_atom_site_label
_atom_site_type_symbol
_atom_site_fract_x
_atom_site_fract_y
_atom_site_fract_z
K1 K 0.000 0.000 0.000
Re1 Re 0.000 0.500 0.500
Rh1 Rh 0.500 0.500 0.000



# BaDy2Tl9 PBE relaxed
# energy	-2.94	eV/atom
# DOS(E_F)	4.74	states/eV per cell
# crystal system	tetragonal
data_BaDy2Tl9
_cell_length_a 4.900
_cell_length_b 4.900
_cell_length_c 14.587
_cell_angle_alpha 90.00
_cell_angle_beta 90.00
_cell_angle_gamma 90.00
_symmetry_space_group_name_H-M 'P 4/m m m'
_symmetry_Int_Tables_number 123
_symmetry_space_group_name_Hall '-P 4 2'
loop_
_atom_site_label
_atom_site_type_symbol
_atom_site_fract_x
_atom_site_fract_y
_atom_site_fract_z
Ba1 Ba 0.000 0.000 0.000
Dy1 Dy 0.000 0.000 0.347
Tl1 Tl 0.000 0.500 0.182
Tl2 Tl 0.000 0.500 0.500
Tl3 Tl 0.500 0.500 0.000
Tl4 Tl 0.500 0.500 0.336